Cs2NaMo3F12, relaxed, DFT GGA+U; spin magnetization = 9.00 μB per formula unit; space-group type = No. 166; final energy = -95.269 eV for the cell shown
1.0
-6.633 -2.476 3.584
-4.371 -5.755 -3.277
-0.255 -7.188 3.352
Cs Na Mo F
2 1 3 12
Direct
0.636 0.636 0.636 Cs
0.364 0.364 0.364 Cs
0.000 0.000 0.000 Na
0.500 0.000 0.000 Mo
0.000 0.500 0.000 Mo
0.000 0.000 0.500 Mo
0.314 0.314 0.918 F
0.914 0.914 0.356 F
0.356 0.914 0.914 F
0.918 0.314 0.314 F
0.914 0.356 0.914 F
0.314 0.918 0.314 F
0.686 0.686 0.082 F
0.086 0.086 0.644 F
0.644 0.086 0.086 F
0.082 0.686 0.686 F
0.086 0.644 0.086 F
0.686 0.082 0.686 F